1.
AsOsAuO GGA-PBE optimized geometry; offset from the most stable computed form = 0.0000 eV per atom; total DFT energy (no corrections) = -6.183 eV per atom; space group = Pmc2_1, No. 26
1.0
3.0197 0.0000 0.0000
0.0000 6.4579 0.0000
0.0000 0.0000 7.3182
As Os Au O
2 2 2 2
Direct
0.0000 0.1964 0.0000
0.0000 0.8036 0.5000
0.5000 0.4839 0.0809
0.5000 0.5161 0.5809
0.0000 0.1467 0.6580
0.0000 0.8533 0.1580
0.5000 0.4447 0.3344
0.5000 0.5553 0.8344

2.
AsPbAuO4 GGA-PBE optimized geometry; total DFT energy (no corrections) = -5.476 eV per atom; space group = P2/c, No. 13
1.0
4.8840 0.0000 0.0000
0.0000 8.1502 0.0000
-0.5496 0.0000 5.8216
As Pb Au O
2 2 2 8
Direct
0.0000 0.1551 0.2500
0.0000 0.8449 0.7500
0.5000 0.1785 0.7500
0.5000 0.8215 0.2500
0.0000 0.5000 0.0000
0.0000 0.5000 0.5000
0.1672 0.2748 0.0592
0.1672 0.7252 0.5592
0.2531 0.0459 0.4036
0.2531 0.9541 0.9036
0.7469 0.0459 0.0964
0.7469 0.9541 0.5964
0.8328 0.2748 0.4408
0.8328 0.7252 0.9408

3.
AsPbAuO GGA-PBE optimized geometry; offset from the most stable computed form = 0.6957 eV per atom; total DFT energy (no corrections) = -3.814 eV per atom; space group = P4/nmm, No. 129
1.0
4.6128 0.0000 0.0000
0.0000 4.6128 0.0000
0.0000 0.0000 8.5163
As Pb Au O
2 2 2 2
Direct
0.2500 0.2500 0.2087
0.7500 0.7500 0.7913
0.2500 0.7500 0.0000
0.7500 0.2500 0.0000
0.2500 0.2500 0.5169
0.7500 0.7500 0.4831
0.2500 0.7500 0.5000
0.7500 0.2500 0.5000

4.
AsPbAuO GGA-PBE optimized geometry; offset from the most stable computed form = 0.0000 eV per atom; total DFT energy (no corrections) = -4.510 eV per atom; space group = P4/nmm, No. 129
1.0
4.2030 0.0000 0.0000
0.0000 4.2030 0.0000
0.0000 0.0000 9.5149
As Pb Au O
2 2 2 2
Direct
0.2500 0.2500 0.1604
0.7500 0.7500 0.8396
0.2500 0.2500 0.6189
0.7500 0.7500 0.3811
0.2500 0.7500 0.0000
0.7500 0.2500 0.0000
0.2500 0.7500 0.5000
0.7500 0.2500 0.5000

5.
AsPbAuO GGA-PBE optimized geometry; offset from the most stable computed form = 0.2169 eV per atom; total DFT energy (no corrections) = -4.293 eV per atom; space group = Pmc2_1, No. 26
1.0
3.5772 0.0000 0.0000
0.0000 6.8055 0.0000
0.0000 0.0000 7.7497
As Pb Au O
2 2 2 2
Direct
0.0000 0.2013 0.0000
0.0000 0.7987 0.5000
0.0000 0.2059 0.6112
0.0000 0.7941 0.1112
0.5000 0.2727 0.2139
0.5000 0.7273 0.7139
0.5000 0.3417 0.4827
0.5000 0.6583 0.9827

6.
AsPbAuO GGA-PBE optimized geometry; offset from the most stable computed form = 0.2909 eV per atom; total DFT energy (no corrections) = -4.219 eV per atom; space group = Pmc2_1, No. 26
1.0
4.2981 0.0000 0.0000
0.0000 6.9664 0.0000
0.0000 0.0000 6.1310
As Pb Au O
2 2 2 2
Direct
0.0000 0.1431 0.0000
0.0000 0.8569 0.5000
0.5000 0.3139 0.2256
0.5000 0.6861 0.7256
0.0000 0.1993 0.5932
0.0000 0.8007 0.0932
0.5000 0.3985 0.5812
0.5000 0.6015 0.0812

7.
PmAsAuO GGA-PBE optimized geometry; offset from the most stable computed form = 0.6784 eV per atom; total DFT energy (no corrections) = -5.321 eV per atom; space group = P4/nmm, No. 129
1.0
6.0660 0.0000 0.0000
0.0000 6.0660 0.0000
0.0000 0.0000 4.7142
Pm As Au O
2 2 2 2
Direct
0.2500 0.7500 0.0000
0.7500 0.2500 0.0000
0.2500 0.2500 0.0136
0.7500 0.7500 0.9864
0.2500 0.2500 0.5138
0.7500 0.7500 0.4862
0.2500 0.7500 0.5000
0.7500 0.2500 0.5000

8.
PmAsAuO GGA-PBE optimized geometry; offset from the most stable computed form = 0.3785 eV per atom; total DFT energy (no corrections) = -5.621 eV per atom; space group = Pmc2_1, No. 26
1.0
3.9018 0.0000 0.0000
0.0000 7.7497 0.0000
0.0000 0.0000 6.1932
Pm As Au O
2 2 2 2
Direct
0.0000 0.2324 0.0000
0.0000 0.7676 0.5000
0.0000 0.1551 0.5027
0.0000 0.8449 0.0027
0.5000 0.3526 0.5151
0.5000 0.6474 0.0151
0.5000 0.3569 0.0170
0.5000 0.6431 0.5170